An optimized crystal structure of Pt3Br. Source: Alexandria, functional PBE.

Its magnetic moment is 0.000 μB per atom. The density of states at the Fermi level is 0.7807 states/eV per atom. For the uncorrected formation energy, the calculation gives 0.595 eV/atom. The space-group type is R-3m. Its polymorph energy (0 for the lowest one) is 219 meV per atom.

Cell and atoms, written as extended XYZ:
```
4
Lattice="-0.4055 3.8660 -3.5147 -1.3518 -4.7926 -1.6330 -1.2137 1.2089 4.9526" Properties=species:S:1:pos:R:3 pbc="T T T"
Br 0.0000 0.0000 0.0000
Pt -1.2828 -1.7919 1.6598
Pt -0.8096 2.5375 0.7190
Pt -0.8786 -0.4633 -2.5738
```